This record from the Alexandria database describes a geometry-optimized RbLiMgSe2 structure. The functional is PBE.

Calculated values
- final energy (eV per cell) = -71.390
- mass density (g/cm³) = 3.3
- V (A^3/atom) = 27.5

Cell lengths 14.0189, 4.3056, 10.7154 Å; angles 90.00, 121.76, 90.00 degrees
Space group C2/m (No. 12)
Inequivalent atoms, fractional coordinates:
Rb (0.1681, 0.0000, 0.1330) (multiplicity 4)
Li (0.1530, 0.5000, 0.4340) (multiplicity 4)
Mg (0.0337, 0.0000, 0.6754) (multiplicity 4)
Se (0.0412, 0.5000, 0.8174) (multiplicity 4)
Se (0.1645, 0.0000, 0.5720) (multiplicity 4)

---

This record from the Alexandria database describes a geometry-optimized RbLi2MgSi structure. The functional is PBE.

Calculated values
- final energy (eV per cell) = -11.631
- mass density (g/cm³) = 1.8
- V (A^3/atom) = 28.6

Cell lengths 5.2341, 5.2341, 5.2223 Å; angles 90.00, 90.00, 90.00 degrees
Space group P4/mmm (No. 123)
Inequivalent atoms, fractional coordinates:
Rb (0.0000, 0.0000, 0.0000) (multiplicity 1)
Li (0.0000, 0.5000, 0.5000) (multiplicity 2)
Mg (0.5000, 0.5000, 0.0000) (multiplicity 1)
Si (0.5000, 0.5000, 0.5000) (multiplicity 1)

---

| no. | DOS at the Fermi energy (states/eV per atom) |
| --- | --- |
| 1 | 0.000 |
| 2 | 0.458 |